# 1
Material: Zr2TaCrH
Method: DFT, GGA-PBE
State: relaxed

Unit cell a=4.7081 b=4.7081 c=3.5393 alpha=90.00 beta=90.00 gamma=90.00
Last column: nearest neighbours and their distance in Å.
Fractional positions:
Cr1 0.0000 0.0000 0.5000  2 H 1.77
H1 0.0000 0.0000 0.0000  2 Cr 1.77
Zr1 0.0000 0.5000 0.0000  2 H 2.35
Zr2 0.5000 0.0000 0.0000  2 H 2.35
Ta1 0.5000 0.5000 0.5000  8 Zr 2.95

Total energy ... -8.307 eV/atom
Symmetry ... P4/mmm, No. 123

# 2
Material: ZnPPb3
Method: DFT, GGA-PBE
State: relaxed

Unit cell a=5.5007 b=5.5007 c=5.5007 alpha=90.00 beta=90.00 gamma=90.00
Last column: nearest neighbours and their distance in Å.
Fractional positions:
Pb1 0.0000 0.5000 0.0000  2 P 2.75
Pb2 0.0000 0.0000 0.5000  2 P 2.75
Pb3 0.5000 0.0000 0.0000  2 P 2.75
P1 0.0000 0.0000 0.0000  6 Pb 2.75
Zn1 0.5000 0.5000 0.5000  12 Pb 3.89

E_form ... 520 meV/atom
Relative energy among the computed polymorphs ... 0 meV per atom
Symmetry ... Pm-3m, No. 221

# 3
Material: MnTcGe2
Method: DFT, GGA-PBE
State: relaxed

Unit cell a=2.9562 b=2.9562 c=8.9805 alpha=80.53 beta=80.53 gamma=60.00
Last column: nearest neighbours and their distance in Å.
Fractional positions:
Ge1 0.0933 0.0933 0.7202  1 Mn 2.47, 3 Tc 2.59
Ge2 0.9067 0.9067 0.2798  1 Mn 2.47, 3 Tc 2.59
Mn1 0.0000 0.0000 0.0000  2 Ge 2.47
Tc1 0.5000 0.5000 0.5000  6 Ge 2.59

E_form ... 235 meV/atom
Relative energy among the computed polymorphs ... 232 meV per atom
Symmetry ... R-3m, No. 166

# 4
Material: Ce2ErNbN5
Method: DFT, GGA-PBE
State: relaxed

Unit cell a=3.5144 b=7.1225 c=11.1929 alpha=90.00 beta=90.00 gamma=104.28
Last column: nearest neighbours and their distance in Å.
Fractional positions:
Ce1 0.8613 0.7227 0.7469  5 N 2.32-2.48
Ce2 0.1269 0.2539 0.7142  3 N 2.27-2.45
Ce3 0.1387 0.2773 0.2469  6 N 2.32-2.60
Ce4 0.8731 0.7462 0.2142  3 N 2.27-2.45
Er1 0.7668 0.5336 0.4890  6 N 2.28-2.47
Er2 0.2332 0.4664 0.9891  6 N 2.28-2.47
Nb1 0.5081 0.0162 0.9787  4 N 1.92-2.02
Nb2 0.4919 0.9838 0.4786  4 N 1.92-2.02
N1 0.3868 0.7737 0.0627  1 Nb 1.92
N2 0.7147 0.4295 0.8490  1 Ce 2.32, 2 Er 2.37
N3 0.4785 0.9571 0.8078  1 Nb 1.96
N4 0.2804 0.5609 0.6426  3 Ce 2.27-2.39, 2 Er 2.47
N5 0.9355 0.8710 0.5330  2 Nb 2.02
N6 0.6132 0.2263 0.5627  1 Nb 1.92
N7 0.2853 0.5705 0.3490  1 Ce 2.32, 2 Er 2.37
N8 0.5215 0.0429 0.3078  1 Nb 1.96
N9 0.7196 0.4391 0.1427  3 Ce 2.27-2.39, 2 Er 2.47
N10 0.0645 0.1290 0.0331  2 Nb 2.02

Symmetry ... Cmc2_1, No. 36
ΔE_f (raw) ... -129 kJ/mol of atoms

# 5
Material: DyInCuPt
Method: DFT, GGA-PBE
State: relaxed

Unit cell a=4.7731 b=4.7731 c=4.7731 alpha=60.00 beta=60.00 gamma=60.00
Last column: nearest neighbours and their distance in Å.
Fractional positions:
In1 0.5000 0.5000 0.5000  4 Pt 2.92, 4 Cu 2.92
Cu1 0.2500 0.2500 0.2500  4 In 2.92, 4 Dy 2.92
Pt1 0.7500 0.7500 0.7500  4 Dy 2.92, 4 In 2.92
Dy1 0.0000 0.0000 0.0000  4 Cu 2.92, 4 Pt 2.92

E_form ... -640 meV/atom
Symmetry ... F-43m, No. 216

# 6
Material: Cr2Pb3
Method: DFT, GGA-PBE
State: relaxed

Unit cell a=11.4953 b=11.4953 c=11.4953 alpha=17.72 beta=17.72 gamma=17.72
Last column: nearest neighbours and their distance in Å.
Fractional positions:
Cr1 0.3956 0.3956 0.3956  6 Pb 2.94-2.98
Cr2 0.6044 0.6044 0.6044  6 Pb 2.94-2.98
Pb1 0.0000 0.0000 0.0000  6 Cr 2.94
Pb2 0.7931 0.7931 0.7931  3 Cr 2.98
Pb3 0.2069 0.2069 0.2069  3 Cr 2.98

E_form ... 598 meV/atom
Relative energy among the computed polymorphs ... 18 meV per atom
Symmetry ... R-3m, No. 166

# 7
Material: MnTcRh2
Method: DFT, GGA-PBE
State: relaxed

Unit cell a=5.2606 b=5.2606 c=5.2606 alpha=148.72 beta=131.00 gamma=59.28
Last column: nearest neighbours and their distance in Å.
Fractional positions:
Mn1 0.2543 0.7543 0.5000  2 Tc 2.45, 6 Rh 2.51-2.60
Rh1 0.0279 0.0279 0.0000  2 Mn 2.51, 4 Tc 2.65
Rh2 0.7456 0.2456 0.5000  4 Mn 2.60, 2 Rh 2.84, 2 Tc 2.87
Tc1 0.4722 0.4722 0.0000  2 Mn 2.45, 4 Rh 2.65

E_form ... 82 meV/atom
Relative energy among the computed polymorphs ... 182 meV per atom
Symmetry ... Imm2, No. 44

# 8
Material: AsSF2
Method: DFT, GGA-PBE
State: relaxed

Unit cell a=3.7921 b=3.7921 c=8.2457 alpha=76.71 beta=76.71 gamma=90.00
Last column: nearest neighbours and their distance in Å.
Fractional positions:
As1 0.0000 0.0000 0.0000  4 F 2.30
As2 0.7500 0.2500 0.5000  4 F 2.30
S1 0.5000 0.5000 0.0000  4 F 2.44, 4 As 2.68
S2 0.2500 0.7500 0.5000  4 F 2.44, 4 As 2.68
F1 0.6725 0.1250 0.2500  2 As 2.30, 2 F 2.44, 2 S 2.44
F2 0.0775 0.6250 0.2500  2 As 2.30, 2 F 2.44, 2 S 2.44
F3 0.3750 0.3275 0.7500  2 As 2.30, 2 F 2.44, 2 S 2.44
F4 0.8750 0.9225 0.7500  2 As 2.30, 2 F 2.44, 2 S 2.44

Relative energy among the computed polymorphs ... 476 meV per atom
Symmetry ... I-42d, No. 122
ΔE_f (raw) ... -57 kJ/mol of atoms

# 9
Material: USiGe
Method: DFT, GGA-PBE
State: relaxed

Unit cell a=2.8010 b=4.6766 c=4.6766 alpha=120.00 beta=90.00 gamma=90.00
Last column: nearest neighbours and their distance in Å.
Fractional positions:
Ge1 0.5001 0.6667 0.3333  3 Si 2.70, 2 Ge 2.80
U1 0.0000 0.0000 0.0000  2 U 2.80, 6 Si 3.04, 6 Ge 3.04
Si1 0.4999 0.3333 0.6667  3 Ge 2.70, 2 Si 2.80

Relative energy among the computed polymorphs ... 94 meV per atom
Symmetry ... P-6m2, No. 187
ΔE_f (raw) ... -9 kJ/mol of atoms

# 10
Material: MgPIr
Method: DFT, GGA-PBE
State: relaxed

Unit cell a=5.7290 b=5.7289 c=2.9721 alpha=74.97 beta=74.96 gamma=30.07
Last column: nearest neighbours and their distance in Å.
Fractional positions:
Ir1 0.9769 0.9769 0.0231  4 P 2.45
Mg1 0.6639 0.6639 0.3361  4 Ir 2.90, 4 P 2.96, 4 Mg 2.97
P1 0.3592 0.3592 0.6408  4 Ir 2.45

E_form ... -352 meV/atom
Symmetry ... I4mm, No. 107

# 11
Material: Ir2RuSe
Method: DFT, GGA-PBE
State: relaxed

Unit cell a=8.7639 b=8.7639 c=8.7639 alpha=18.67 beta=18.67 gamma=18.67
Last column: nearest neighbours and their distance in Å.
Fractional positions:
Ir1 0.9998 0.9998 0.9998  3 Ru 2.70, 3 Se 2.71, 6 Ir 2.84
Ir2 0.5002 0.5002 0.5002  3 Ru 2.70, 3 Se 2.71, 6 Ir 2.84
Ru1 0.2500 0.2500 0.2500  6 Ir 2.70, 6 Ru 2.84
Se1 0.7500 0.7500 0.7500  6 Ir 2.71, 6 Se 2.84

Symmetry ... R-3m, No. 166
ΔE_f (raw) ... 33 kJ/mol of atoms

# 12
Material: SrLa2Tl2Cd2
Method: DFT, GGA-PBE
State: relaxed

Unit cell a=5.0344 b=5.0344 c=10.2094 alpha=75.73 beta=75.73 gamma=60.00
Last column: nearest neighbours and their distance in Å.
Fractional positions:
Sr1 0.0000 0.0000 0.0000  6 Tl 3.54
La1 0.1412 0.1412 0.5764  3 Cd 3.21, 3 La 3.27
La2 0.8588 0.8588 0.4236  3 Cd 3.21, 3 La 3.27
Tl1 0.7356 0.7356 0.7933  3 Cd 3.00
Tl2 0.2644 0.2644 0.2067  3 Cd 3.00
Cd1 0.5719 0.5719 0.2843  3 Tl 3.00, 3 La 3.21
Cd2 0.4281 0.4281 0.7157  3 Tl 3.00, 3 La 3.21

E_form ... -266 meV/atom
Symmetry ... R-3m, No. 166

Record-wise density of states at the Fermi level values, in states/eV/f.u.: 6.7 3.8 4.3 7.5 2.1 4.5 4.4 1.6 3.0 1.1 3.3 1.4